Below is NiPtF2 after structural relaxation, with properties calculated at the PBE with a Hubbard U level.

Cell: 5.169 5.169 6.167 Å, 65.23 65.23 90.00°
Element x y z (fractional)
1 Ni 0.250 0.750 0.500
2 Ni 0.500 0.500 0.000
3 Pt 0.750 0.250 0.500
4 Pt 0.000 0.000 0.000
5 F 0.247 0.625 0.250
6 F 0.503 0.125 0.250
7 F 0.375 0.497 0.750
8 F 0.875 0.753 0.750

Values from the calculation:
energy above the most stable polymorph in this dataset	0.8405	eV per atom
VASP energy	-0.2511	Ry/atom
symmetry	I-42d, No. 122
magnetization	0.61	μB per atom
theoretical density	7.302	g cm⁻³